1.
Co4SiMo2 | PBE-GGA | optimized geometry

The structure belongs to space group I4/mmm (No. 139); the cell edges are 3.9812, 3.9812 and 12.6074 Å and the angles 90.00°, 90.00° and 90.00°. The asymmetric unit holds Co at (0.0000, 0.0000, 0.1723), Co at (0.0000, 0.5000, 0.0000), Si at (0.0000, 0.0000, 0.0000) and Mo at (0.0000, 0.0000, 0.3444).

For the volume, the calculation gives 14.27 Å³ per atom. The value obtained for the uncorrected formation energy is 0.859 eV per atom. Its density of states at the Fermi level is 14.78 states/eV per cell. Its density is 7574 kg/m3.



2.
FeCuRh | PBE-GGA | optimized geometry

The structure belongs to space group F-43m (No. 216); the cell edges are 5.6609, 5.6609 and 5.6609 Å and the angles 90.00°, 90.00° and 90.00°. The asymmetric unit holds Fe at (0.0000, 0.0000, 0.0000), Cu at (0.2500, 0.2500, 0.2500) and Rh at (0.2500, 0.2500, 0.7500).

For the volume, the calculation gives 15.12 Å³ per atom. Its density of states at the Fermi level is 4.54 states/eV per cell. The formation energy comes out at 385 meV per atom. The value obtained for the offset from the most stable computed form is 0.395 eV per atom. Its density is 8139 kg/m3.



What did the first record say?
Co4SiMo2 | PBE-GGA | optimized geometry

The structure belongs to space group I4/mmm (No. 139); the cell edges are 3.9812, 3.9812 and 12.6074 Å and the angles 90.00°, 90.00° and 90.00°. The asymmetric unit holds Co at (0.0000, 0.0000, 0.1723), Co at (0.0000, 0.5000, 0.0000), Si at (0.0000, 0.0000, 0.0000) and Mo at (0.0000, 0.0000, 0.3444).

For the volume, the calculation gives 14.27 Å³ per atom. The value obtained for the uncorrected formation energy is 0.859 eV per atom. Its density of states at the Fermi level is 14.78 states/eV per cell. Its density is 7574 kg/m3.